# SrHg2PdI

Crystalline SrHg2PdI at its relaxed geometry (PBE-GGA, Alexandria via LeMat-Bulk).

```
5
Lattice="5.306 0.000 0.000 0.000 5.306 0.000 0.000 0.000 5.905" Properties=species:S:1:pos:R:3 pbc="T T T"
I 2.653 2.653 2.953
Sr 0.000 0.000 2.953
Hg 0.000 2.653 0.000
Hg 2.653 0.000 0.000
Pd 0.000 0.000 0.000
```

Symmetry: No. 123
Formation energy without anion corrections in eV per atom: -0.590
V in Å³/atom: 33.3
Crystal system: tetragonal
DOS(E_F) in states/eV per cell: 3.126

---

# HgTe2PdI

Crystalline HgTe2PdI at its relaxed geometry (PBE-GGA, Alexandria via LeMat-Bulk).

```
5
Lattice="5.619 0.000 0.000 0.000 5.619 0.000 0.000 0.000 5.949" Properties=species:S:1:pos:R:3 pbc="T T T"
I 0.000 0.000 2.974
Te 0.000 2.810 0.000
Te 2.810 0.000 0.000
Hg 0.000 0.000 0.000
Pd 2.810 2.810 2.974
```

Symmetry: No. 123
Formation energy without anion corrections in eV per atom: 0.869
V in Å³/atom: 37.6
Crystal system: tetragonal
DOS(E_F) in states/eV per cell: 7.021

---

# HgTe2PdI

Crystalline HgTe2PdI at its relaxed geometry (PBE-GGA, Alexandria via LeMat-Bulk).

```
5
Lattice="5.369 0.000 0.000 0.000 5.369 0.000 0.000 0.000 5.525" Properties=species:S:1:pos:R:3 pbc="T T T"
I 0.000 0.000 2.763
Te 0.000 2.684 0.000
Te 2.684 0.000 0.000
Hg 2.684 2.684 2.763
Pd 0.000 0.000 0.000
```

Symmetry: No. 123
Formation energy without anion corrections in eV per atom: 0.242
V in Å³/atom: 31.8
Crystal system: tetragonal
DOS(E_F) in states/eV per cell: 7.140

---

# HgTePdI2

Crystalline HgTePdI2 at its relaxed geometry (PBE-GGA, Alexandria via LeMat-Bulk).

```
5
Lattice="5.630 0.000 0.000 0.000 5.630 0.000 0.000 0.000 5.290" Properties=species:S:1:pos:R:3 pbc="T T T"
I 0.000 2.815 0.000
I 2.815 0.000 0.000
Te 0.000 0.000 2.645
Hg 2.815 2.815 2.645
Pd 0.000 0.000 0.000
```

Symmetry: No. 123
Formation energy without anion corrections in eV per atom: 0.144
V in Å³/atom: 33.5
Crystal system: tetragonal
DOS(E_F) in states/eV per cell: 5.616

---

# Tl2HgPdI6

Crystalline Tl2HgPdI6 at its relaxed geometry (PBE-GGA, Alexandria via LeMat-Bulk).

```
20
Lattice="-1.169 8.184 1.945 1.101 -1.743 7.995 11.343 2.413 -1.036" Properties=species:S:1:pos:R:3 pbc="T T T"
Tl 4.138 -0.917 7.461
Tl 8.751 5.133 4.473
Tl 7.137 9.771 1.443
Tl 2.524 3.722 4.431
Hg -0.585 4.092 0.973
Hg 6.222 0.335 3.479
Pd 5.087 5.299 0.455
Pd 0.550 -0.871 3.997
I 0.792 1.209 6.529
I 5.884 6.500 7.021
I 10.482 7.645 2.375
I 5.390 2.355 1.883
I 5.254 2.283 6.292
I 10.309 7.633 6.516
I 6.021 6.571 2.612
I 0.966 1.222 2.388
I 2.005 6.871 6.054
I 8.664 3.347 7.493
I 9.270 1.984 2.850
I 2.610 5.508 1.411
```

Symmetry: No. 14
Formation energy without anion corrections in eV per atom: -0.382
V in Å³/atom: 40.8
Crystal system: monoclinic

---

# TlHgPdI2

Crystalline TlHgPdI2 at its relaxed geometry (PBE-GGA, Alexandria via LeMat-Bulk).

```
5
Lattice="-2.821 -2.716 -4.086 -3.284 -2.457 3.900 -3.448 4.080 -0.332" Properties=species:S:1:pos:R:3 pbc="T T T"
I -1.642 -1.229 1.950
I -1.411 -1.358 -2.043
Tl -4.776 -0.546 -0.259
Hg -1.724 2.040 -0.166
Pd 0.000 0.000 0.000
```

Symmetry: No. 123
Formation energy without anion corrections in eV per atom: -0.267
V in Å³/atom: 34.3
Crystal system: tetragonal
DOS(E_F) in states/eV per cell: 0.773

---

# TlHg2PdI

Crystalline TlHg2PdI at its relaxed geometry (PBE-GGA, Alexandria via LeMat-Bulk).

```
5
Lattice="-0.922 -4.716 2.339 3.849 1.016 3.565 -3.722 2.384 3.339" Properties=species:S:1:pos:R:3 pbc="T T T"
I -0.397 -0.658 4.622
Tl -1.861 1.192 1.670
Hg 1.925 0.508 1.783
Hg -0.461 -2.358 1.170
Pd 0.000 0.000 0.000
```

Symmetry: No. 123
Formation energy without anion corrections in eV per atom: -0.201
V in Å³/atom: 31.6
Crystal system: tetragonal
DOS(E_F) in states/eV per cell: 1.440

---

# PmHgI2

Crystalline PmHgI2 at its relaxed geometry (PBE-GGA, Alexandria via LeMat-Bulk).

```
4
Lattice="4.180 0.000 0.000 2.090 3.620 0.000 2.090 1.207 12.348" Properties=species:S:1:pos:R:3 pbc="T T T"
I 2.090 1.207 8.223
I 6.270 3.620 4.125
Hg 0.000 0.000 0.000
Pm 4.180 2.413 6.174
```

Symmetry: No. 166
Formation energy without anion corrections in eV per atom: -0.935
V in Å³/atom: 46.7
Crystal system: trigonal
DOS(E_F) in states/eV per cell: 1.796